(1)
Computed, not measured: crystalline Rb2CaVBr6 at its relaxed geometry at the PBE level of DFT.

Results
Space group: No. 225
VASP energy (eV/f.u.): -38.4
Total magnetic moment (Bohr magnetons per cell): 3.0

Unit cell a=7.793 b=7.793 c=7.793 alpha=60.00 beta=60.00 gamma=90.00
Each line ends with the local moment (μB).
Positions (direct):
Rb1 0.250 0.750 0.500  0.00
Rb2 0.750 0.250 0.500  0.00
Br1 0.760 0.760 0.000  0.00
Br2 0.240 0.240 0.000  0.00
Br3 0.240 0.240 0.520  0.00
Br4 0.760 0.240 0.000  0.00
Br5 0.760 0.760 0.480  0.00
Br6 0.240 0.760 0.000  0.00
Ca1 0.500 0.500 0.000  0.00
V1 0.000 0.000 0.000  2.60

---

(2)
Computed, not measured: crystalline Rb2CaYBr6 at its relaxed geometry at the PBE level of DFT.

Results
Space group: No. 225
VASP energy (eV/f.u.): -37.7
Total magnetic moment (Bohr magnetons per cell): 0.9

Unit cell a=8.084 b=8.084 c=8.085 alpha=60.00 beta=60.00 gamma=90.00
Each line ends with the local moment (μB).
Positions (direct):
Br1 0.751 0.751 0.497  0.00
Br2 0.751 0.249 0.000  0.00
Br3 0.249 0.249 0.000  0.00
Br4 0.751 0.751 0.000  0.00
Br5 0.249 0.751 0.000  0.00
Br6 0.249 0.249 0.503  0.00
Y1 0.000 0.000 0.000  0.44
Rb1 0.250 0.750 0.500  0.00
Rb2 0.750 0.250 0.500  0.00
Ca1 0.500 0.500 0.000  0.07

---

(3)
Computed, not measured: crystalline RbCa2YBr8 at its relaxed geometry at the PBE level of DFT.

Results
Space group: No. 10
VASP energy (eV/f.u.): -47.6
Total magnetic moment (Bohr magnetons per cell): 0.0

Unit cell a=7.077 b=6.758 c=9.188 alpha=89.97 beta=89.98 gamma=89.34
Positions (direct):
Br1 0.619 0.729 0.500
Br2 0.166 0.756 0.789
Br3 0.327 0.258 0.000
Br4 0.166 0.756 0.211
Br5 0.381 0.271 0.500
Br6 0.673 0.742 0.000
Br7 0.834 0.244 0.789
Br8 0.834 0.244 0.211
Y1 0.000 0.000 0.000
Ca1 0.500 0.500 0.748
Ca2 0.500 0.500 0.252
Rb1 0.000 0.000 0.500

---

(4)
Computed, not measured: crystalline RbCaZnBr5 at its relaxed geometry at the PBE level of DFT.

Results
Space group: No. 15
VASP energy (eV/f.u.): -24.9
Total magnetic moment (Bohr magnetons per cell): 0.0

Unit cell a=8.003 b=8.003 c=10.446 alpha=104.35 beta=104.35 gamma=105.58
Positions (direct):
Rb1 0.346 0.654 0.250
Rb2 0.654 0.346 0.750
Br1 0.676 0.098 0.380
Br2 0.082 0.918 0.250
Br3 0.612 0.753 0.930
Br4 0.388 0.247 0.070
Br5 0.098 0.676 0.880
Br6 0.918 0.082 0.750
Br7 0.324 0.902 0.620
Br8 0.247 0.388 0.570
Br9 0.902 0.324 0.120
Br10 0.753 0.612 0.430
Zn1 0.314 0.686 0.750
Zn2 0.686 0.314 0.250
Ca1 0.000 0.000 0.000
Ca2 0.000 0.000 0.500

---

(5)
Computed, not measured: crystalline Rb2CaZnBr6 at its relaxed geometry at the PBE level of DFT.

Results
Space group: No. 146
VASP energy (eV/f.u.): -30.6
Total magnetic moment (Bohr magnetons per cell): 0.0

Unit cell a=7.820 b=7.820 c=7.730 alpha=59.61 beta=59.61 gamma=59.99
Positions (direct):
Rb1 0.067 0.067 0.798
Rb2 0.564 0.564 0.308
Br1 0.079 0.504 0.810
Br2 0.504 0.606 0.810
Br3 0.553 0.128 0.293
Br4 0.128 0.026 0.293
Br5 0.026 0.553 0.293
Br6 0.606 0.079 0.810
Zn1 0.316 0.316 0.051
Ca1 0.816 0.816 0.551

---

(6)
Computed, not measured: crystalline CaReBr at its relaxed geometry at the PBE level of DFT.

Results
Space group: No. 156
VASP energy (eV/f.u.): -14.1
Total magnetic moment (Bohr magnetons per cell): 2.1
Energy above the lowest structure with this stoichiometry (meV per atom): 0

Unit cell a=3.340 b=3.340 c=6.923 alpha=90.00 beta=90.00 gamma=120.00
Each line ends with the local moment (μB).
Positions (direct):
Re1 0.333 0.667 0.664  1.68
Ca1 0.667 0.333 0.329  0.01
Br1 0.000 0.000 0.007  0.08

---

(7)
Computed, not measured: crystalline CaRe3Br at its relaxed geometry at the PBE level of DFT.

Results
Space group: No. 221
VASP energy (eV/f.u.): -22.8
Total magnetic moment (Bohr magnetons per cell): 4.0
Energy above the lowest structure with this stoichiometry (meV per atom): 1722

Unit cell a=4.818 b=4.818 c=4.818 alpha=90.00 beta=90.00 gamma=90.00
Each line ends with the local moment (μB).
Positions (direct):
Br1 0.500 0.500 0.500  0.11
Re1 0.500 0.000 0.000  1.29
Re2 0.000 0.000 0.500  0.92
Re3 0.000 0.500 0.000  1.21
Ca1 0.000 0.000 0.000  0.01

---

(8)
Computed, not measured: crystalline CaRe3Br at its relaxed geometry at the PBE level of DFT.

Results
Space group: No. 221
VASP energy (eV/f.u.): -31.4
Total magnetic moment (Bohr magnetons per cell): 1.8
Energy above the lowest structure with this stoichiometry (meV per atom): 0

Unit cell a=4.656 b=4.656 c=4.656 alpha=90.00 beta=90.00 gamma=90.00
Each line ends with the local moment (μB).
Positions (direct):
Br1 0.000 0.000 0.000  -0.01
Ca1 0.500 0.500 0.500  0.03
Re1 0.000 0.000 0.500  0.50
Re2 0.000 0.500 0.000  0.56
Re3 0.500 0.000 0.000  0.47

---

(9)
Computed, not measured: crystalline CaReBr at its relaxed geometry at the PBE level of DFT.

Results
Space group: No. 187
VASP energy (eV/f.u.): -14.0
Total magnetic moment (Bohr magnetons per cell): 0.0
Energy above the lowest structure with this stoichiometry (meV per atom): 42

Unit cell a=4.758 b=4.758 c=3.093 alpha=90.00 beta=90.00 gamma=120.00
Positions (direct):
Re1 0.333 0.667 0.833
Ca1 0.667 0.333 0.333
Br1 0.000 0.000 0.833

---

(10)
Computed, not measured: crystalline CaReBr at its relaxed geometry at the PBE level of DFT.

Results
Space group: No. 216
VASP energy (eV/f.u.): -12.7
Total magnetic moment (Bohr magnetons per cell): 2.0
Energy above the lowest structure with this stoichiometry (meV per atom): 470

Unit cell a=4.619 b=4.619 c=4.619 alpha=60.00 beta=60.00 gamma=60.00
Each line ends with the local moment (μB).
Positions (direct):
Ca1 0.000 0.000 0.000  0.00
Br1 0.750 0.750 0.750  0.04
Re1 0.500 0.500 0.500  1.58

---

(11)
Computed, not measured: crystalline CaReBr at its relaxed geometry at the PBE level of DFT.

Results
Space group: No. 216
VASP energy (eV/f.u.): -12.4
Total magnetic moment (Bohr magnetons per cell): 4.0
Energy above the lowest structure with this stoichiometry (meV per atom): 572

Unit cell a=5.140 b=5.140 c=5.140 alpha=60.00 beta=60.00 gamma=60.00
Each line ends with the local moment (μB).
Positions (direct):
Re1 0.000 0.000 0.000  3.19
Br1 0.500 0.500 0.500  0.09
Ca1 0.750 0.750 0.750  0.02

---

(12)
Computed, not measured: crystalline CaReBr at its relaxed geometry at the PBE level of DFT.

Results
Space group: No. 42
VASP energy (eV/f.u.): -14.1
Total magnetic moment (Bohr magnetons per cell): 0.0
Energy above the lowest structure with this stoichiometry (meV per atom): 0

Unit cell a=7.330 b=7.279 c=3.072 alpha=78.80 beta=76.93 gamma=24.27
Positions (direct):
Re1 0.676 0.676 0.324
Ca1 0.341 0.341 0.659
Br1 0.983 0.983 0.017

---

(13)
Computed, not measured: crystalline CaRe2RuBr at its relaxed geometry at the PBE level of DFT.

Results
Space group: No. 123
VASP energy (eV/f.u.): -21.9
Total magnetic moment (Bohr magnetons per cell): 9.3

Unit cell a=5.294 b=4.800 c=5.294 alpha=90.00 beta=90.00 gamma=90.00
Each line ends with the local moment (μB).
Positions (direct):
Re1 0.000 0.000 0.500  2.89
Re2 0.500 0.000 0.000  3.23
Ru1 0.000 0.500 0.000  1.66
Br1 0.500 0.500 0.500  0.21
Ca1 0.000 0.000 0.000  -0.01

---

(14)
Computed, not measured: crystalline CaReSeBr2 at its relaxed geometry at the PBE level of DFT.

Results
Space group: No. 123
VASP energy (eV/f.u.): -22.0
Total magnetic moment (Bohr magnetons per cell): 0.0
Energy above the lowest structure with this stoichiometry (meV per atom): 0

Unit cell a=5.286 b=5.286 c=4.757 alpha=90.00 beta=90.00 gamma=90.00
Positions (direct):
Ca1 0.500 0.500 0.500
Re1 0.000 0.000 0.000
Se1 0.000 0.000 0.500
Br1 0.000 0.500 0.000
Br2 0.500 0.000 0.000

---

(15)
Computed, not measured: crystalline CaReSe2Br at its relaxed geometry at the PBE level of DFT.

Results
Space group: No. 123
VASP energy (eV/f.u.): -24.3
Total magnetic moment (Bohr magnetons per cell): 0.8
Energy above the lowest structure with this stoichiometry (meV per atom): 0

Unit cell a=4.896 b=4.896 c=5.340 alpha=90.00 beta=90.00 gamma=90.00
Each line ends with the local moment (μB).
Positions (direct):
Ca1 0.500 0.500 0.500  0.02
Se1 0.500 0.000 0.000  0.03
Se2 0.000 0.500 0.000  0.03
Br1 0.000 0.000 0.500  0.00
Re1 0.000 0.000 0.000  0.57

---

(16)
Computed, not measured: crystalline CaReSeBr2 at its relaxed geometry at the PBE level of DFT.

Results
Space group: No. 123
VASP energy (eV/f.u.): -19.2
Total magnetic moment (Bohr magnetons per cell): 5.0
Energy above the lowest structure with this stoichiometry (meV per atom): 553

Unit cell a=5.394 b=5.394 c=5.858 alpha=90.00 beta=90.00 gamma=90.00
Each line ends with the local moment (μB).
Positions (direct):
Re1 0.500 0.500 0.500  4.32
Ca1 0.000 0.000 0.000  0.00
Br1 0.500 0.000 0.000  0.04
Br2 0.000 0.500 0.000  0.04
Se1 0.000 0.000 0.500  -0.29

---

(17)
Computed, not measured: crystalline CaReSe2Br at its relaxed geometry at the PBE level of DFT.

Results
Space group: No. 123
VASP energy (eV/f.u.): -19.2
Total magnetic moment (Bohr magnetons per cell): 4.0
Energy above the lowest structure with this stoichiometry (meV per atom): 1008

Unit cell a=5.533 b=5.533 c=5.322 alpha=90.00 beta=90.00 gamma=90.00
Each line ends with the local moment (μB).
Positions (direct):
Se1 0.000 0.500 0.000  -0.37
Se2 0.500 0.000 0.000  -0.37
Br1 0.000 0.000 0.500  0.01
Ca1 0.000 0.000 0.000  0.00
Re1 0.500 0.500 0.500  4.20

---

(18)
Computed, not measured: crystalline CaZrRe2Br at its relaxed geometry at the PBE level of DFT.

Results
Space group: No. 123
VASP energy (eV/f.u.): -29.0
Total magnetic moment (Bohr magnetons per cell): 2.7

Unit cell a=4.826 b=6.718 c=4.826 alpha=90.00 beta=90.00 gamma=90.00
Each line ends with the local moment (μB).
Positions (direct):
Re1 0.500 0.000 0.000  1.56
Re2 0.000 0.000 0.500  1.24
Ca1 0.000 0.500 0.000  -0.06
Br1 0.500 0.500 0.500  0.05
Zr1 0.000 0.000 0.000  -0.34

---

(19)
Computed, not measured: crystalline CaRhBr4 at its relaxed geometry at the PBE level of DFT.

Results
Space group: No. 216
VASP energy (eV/f.u.): -13.9
Total magnetic moment (Bohr magnetons per cell): 0.7

Unit cell a=6.271 b=6.271 c=6.271 alpha=60.00 beta=60.00 gamma=60.00
Each line ends with the local moment (μB).
Positions (direct):
Br1 0.375 0.876 0.375  -0.14
Br2 0.375 0.375 0.876  -0.14
Br3 0.876 0.375 0.375  -0.14
Br4 0.375 0.375 0.375  -0.14
Rh1 0.000 0.000 0.000  1.29
Ca1 0.750 0.750 0.750  -0.01

---

(20)
Computed, not measured: crystalline CaRh3Br at its relaxed geometry at the PBE level of DFT.

Results
Space group: No. 221
VASP energy (eV/f.u.): -18.1
Total magnetic moment (Bohr magnetons per cell): 2.7
Energy above the lowest structure with this stoichiometry (meV per atom): 1165

Unit cell a=4.931 b=4.931 c=4.931 alpha=90.00 beta=90.00 gamma=90.00
Each line ends with the local moment (μB).
Positions (direct):
Rh1 0.000 0.500 0.000  1.06
Rh2 0.000 0.000 0.500  0.90
Rh3 0.500 0.000 0.000  0.65
Br1 0.500 0.500 0.500  0.10
Ca1 0.000 0.000 0.000  -0.07

---

(21)
Computed, not measured: crystalline CaRh4Br at its relaxed geometry at the PBE level of DFT.

Results
Space group: No. 216
VASP energy (eV/f.u.): -31.9
Total magnetic moment (Bohr magnetons per cell): 2.5

Unit cell a=5.347 b=5.347 c=5.347 alpha=60.00 beta=60.00 gamma=60.00
Each line ends with the local moment (μB).
Positions (direct):
Rh1 0.375 0.375 0.875  0.56
Rh2 0.375 0.375 0.375  0.56
Rh3 0.375 0.875 0.375  0.56
Rh4 0.875 0.375 0.375  0.56
Ca1 0.000 0.000 0.000  -0.01
Br1 0.750 0.750 0.750  0.14

---

(22)
Computed, not measured: crystalline CaRh3Br at its relaxed geometry at the PBE level of DFT.

Results
Space group: No. 221
VASP energy (eV/f.u.): -23.9
Total magnetic moment (Bohr magnetons per cell): 0.0
Energy above the lowest structure with this stoichiometry (meV per atom): 0

Unit cell a=4.674 b=4.674 c=4.674 alpha=90.00 beta=90.00 gamma=90.00
Positions (direct):
Rh1 0.000 0.500 0.000
Rh2 0.000 0.000 0.500
Rh3 0.500 0.000 0.000
Ca1 0.500 0.500 0.500
Br1 0.000 0.000 0.000

---

(23)
Computed, not measured: crystalline CaRhSeBr2 at its relaxed geometry at the PBE level of DFT.

Results
Space group: No. 123
VASP energy (eV/f.u.): -16.0
Total magnetic moment (Bohr magnetons per cell): 3.0
Energy above the lowest structure with this stoichiometry (meV per atom): 718

Unit cell a=5.469 b=5.469 c=5.705 alpha=90.00 beta=90.00 gamma=90.00
Each line ends with the local moment (μB).
Positions (direct):
Rh1 0.500 0.500 0.500  1.74
Br1 0.000 0.500 0.000  0.10
Br2 0.500 0.000 0.000  0.10
Se1 0.000 0.000 0.500  0.53
Ca1 0.000 0.000 0.000  0.00

---

(24)
Computed, not measured: crystalline CaRhSeBr2 at its relaxed geometry at the PBE level of DFT.

Results
Space group: No. 123
VASP energy (eV/f.u.): -19.6
Total magnetic moment (Bohr magnetons per cell): 0.0
Energy above the lowest structure with this stoichiometry (meV per atom): 0

Unit cell a=5.011 b=5.011 c=5.112 alpha=90.00 beta=90.00 gamma=90.00
Positions (direct):
Se1 0.000 0.000 0.500
Br1 0.500 0.000 0.000
Br2 0.000 0.500 0.000
Rh1 0.000 0.000 0.000
Ca1 0.500 0.500 0.500

---

(25)
Computed, not measured: crystalline Ca2TeRhBr at its relaxed geometry at the PBE level of DFT.

Results
Space group: No. 123
VASP energy (eV/f.u.): -20.0
Total magnetic moment (Bohr magnetons per cell): 0.0

Unit cell a=5.587 b=4.683 c=5.587 alpha=90.00 beta=90.00 gamma=90.00
Positions (direct):
Ca1 0.500 0.000 0.000
Ca2 0.000 0.000 0.500
Te1 0.500 0.500 0.500
Rh1 0.000 0.000 0.000
Br1 0.000 0.500 0.000

---

(26)
Computed, not measured: crystalline CaTl2RhBr at its relaxed geometry at the PBE level of DFT.

Results
Space group: No. 123
VASP energy (eV/f.u.): -18.5
Total magnetic moment (Bohr magnetons per cell): 0.0

Unit cell a=5.268 b=5.268 c=5.474 alpha=90.00 beta=90.00 gamma=90.00
Positions (direct):
Tl1 0.000 0.500 0.000
Tl2 0.500 0.000 0.000
Ca1 0.000 0.000 0.500
Rh1 0.000 0.000 0.000
Br1 0.500 0.500 0.500

---

(27)
Computed, not measured: crystalline CaY2RhBr at its relaxed geometry at the PBE level of DFT.

Results
Space group: No. 123
VASP energy (eV/f.u.): -20.4
Total magnetic moment (Bohr magnetons per cell): 0.0

Unit cell a=5.928 b=4.651 c=5.928 alpha=90.00 beta=90.00 gamma=90.00
Positions (direct):
Y1 0.000 0.000 0.500
Y2 0.500 0.000 0.000
Rh1 0.000 0.500 0.000
Br1 0.500 0.500 0.500
Ca1 0.000 0.000 0.000